Entry 1:
First-principles (PBE) data for a relaxed LiPmPO4 crystal, as listed in the Alexandria database. Values from VASP.

total DFT energy (no corrections) = -6.91 eV per atom
energy relative to the elements, uncorrected = -2.355 eV/atom

```
&SYSTEM
  ibrav = 0, nat = 14, ntyp = 4
/
ATOMIC_SPECIES
Li 6.94 Li.upf
Pm 145.00 Pm.upf
P 30.97 P.upf
O 16.00 O.upf
CELL_PARAMETERS angstrom
5.497 0.000 0.000
0.000 5.361 0.000
-2.694 0.000 6.116
ATOMIC_POSITIONS angstrom
Li 1.157 1.340 0.144
Li 1.645 4.021 5.972
Pm -0.274 4.021 3.399
Pm 3.077 1.340 2.717
P 1.818 4.021 1.106
P 0.985 1.340 5.010
O -0.366 1.340 4.204
O 0.941 2.788 1.505
O 0.941 5.254 1.505
O -0.549 4.021 5.720
O 3.351 1.340 0.397
O 1.861 0.107 4.611
O 1.861 2.573 4.611
O 3.168 4.021 1.912
```



Entry 2:
First-principles (PBE) data for a relaxed Li2PrP2O7 crystal, as listed in the Alexandria database. Values from VASP.

total DFT energy (no corrections) = -6.83 eV per atom
energy relative to the elements, uncorrected = -2.322 eV/atom

```
&SYSTEM
  ibrav = 0, nat = 12, ntyp = 4
/
ATOMIC_SPECIES
Li 6.94 Li.upf
Pr 140.91 Pr.upf
P 30.97 P.upf
O 16.00 O.upf
CELL_PARAMETERS angstrom
2.647 1.528 6.957
-2.647 1.528 6.957
0.000 -3.056 6.957
ATOMIC_POSITIONS angstrom
Li 0.000 0.000 4.802
Li 0.000 0.000 16.070
Pr 0.000 0.000 0.000
P 0.000 0.000 8.838
P 0.000 0.000 12.034
O -0.868 -1.187 8.394
O -0.594 -1.345 12.477
O -0.594 1.345 8.394
O 0.000 0.000 10.436
O -0.868 1.187 12.477
O 1.462 -0.158 8.394
O 1.462 0.158 12.477
```



Entry 3:
First-principles (PBE) data for a relaxed LiPrPO4 crystal, as listed in the Alexandria database. Values from VASP.

total DFT energy (no corrections) = -6.92 eV per atom
energy relative to the elements, uncorrected = -2.356 eV/atom

```
&SYSTEM
  ibrav = 0, nat = 14, ntyp = 4
/
ATOMIC_SPECIES
Li 6.94 Li.upf
Pr 140.91 Pr.upf
P 30.97 P.upf
O 16.00 O.upf
CELL_PARAMETERS angstrom
5.434 0.000 0.000
0.000 5.361 0.000
-2.594 0.000 6.221
ATOMIC_POSITIONS angstrom
Li -0.235 1.340 3.049
Li 3.074 4.021 3.172
Pr 1.599 1.340 0.332
Pr 1.241 4.021 5.889
P 0.423 4.021 2.045
P 2.416 1.340 4.176
O -0.483 2.791 1.712
O -0.483 5.251 1.712
O 1.686 4.021 1.102
O 0.885 4.021 3.508
O 1.955 1.340 2.713
O 1.154 1.340 5.120
O 3.323 0.110 4.510
O 3.323 2.570 4.510
```



Entry 4:
First-principles (PBE) data for a relaxed Li2PrPO crystal, as listed in the Alexandria database. Values from VASP.

total DFT energy (no corrections) = -5.42 eV per atom
energy relative to the elements, uncorrected = -1.620 eV/atom

```
&SYSTEM
  ibrav = 0, nat = 10, ntyp = 4
/
ATOMIC_SPECIES
Li 6.94 Li.upf
Pr 140.91 Pr.upf
P 30.97 P.upf
O 16.00 O.upf
CELL_PARAMETERS angstrom
1.859 -5.528 0.000
1.859 5.528 0.000
0.000 0.000 7.209
ATOMIC_POSITIONS angstrom
Li 1.859 3.664 4.030
Li 1.859 3.664 6.783
Li 1.859 -3.664 0.426
Li 1.859 -3.664 3.179
Pr 1.859 0.510 5.407
Pr 1.859 -0.510 1.802
P 1.859 2.595 1.802
P 1.859 -2.595 5.407
O 0.000 0.000 0.000
O 0.000 0.000 3.604
```



Entry 5:
First-principles (PBE) data for a relaxed LiPr2Zn2P2O2 crystal, as listed in the Alexandria database. Values from VASP.

total DFT energy (no corrections) = -5.26 eV per atom
energy relative to the lowest polymorph listed for this composition = 168 meV per atom
energy relative to the elements, uncorrected = -1.397 eV/atom

```
&SYSTEM
  ibrav = 0, nat = 9, ntyp = 5
/
ATOMIC_SPECIES
Li 6.94 Li.upf
Pr 140.91 Pr.upf
Zn 65.41 Zn.upf
P 30.97 P.upf
O 16.00 O.upf
CELL_PARAMETERS angstrom
2.009 1.160 10.669
-2.009 1.160 10.669
0.000 -2.320 10.669
ATOMIC_POSITIONS angstrom
Li 0.000 0.000 0.000
Pr 0.000 0.000 12.485
Pr 0.000 0.000 19.523
Zn 0.000 0.000 6.269
Zn 0.000 0.000 25.739
P 0.000 0.000 3.747
P 0.000 0.000 28.261
O 0.000 0.000 9.838
O 0.000 0.000 22.170
```



Entry 6:
First-principles (PBE) data for a relaxed LiPr2Zn2P2O2 crystal, as listed in the Alexandria database. Values from VASP.

total DFT energy (no corrections) = -5.43 eV per atom
energy relative to the lowest polymorph listed for this composition = 0 meV per atom
energy relative to the elements, uncorrected = -1.565 eV/atom

```
&SYSTEM
  ibrav = 0, nat = 9, ntyp = 5
/
ATOMIC_SPECIES
Li 6.94 Li.upf
Pr 140.91 Pr.upf
Zn 65.41 Zn.upf
P 30.97 P.upf
O 16.00 O.upf
CELL_PARAMETERS angstrom
2.079 1.200 10.195
-2.079 1.200 10.195
0.000 -2.400 10.195
ATOMIC_POSITIONS angstrom
Li 0.000 0.000 0.000
Pr 0.000 0.000 3.617
Pr 0.000 0.000 26.967
Zn 0.000 0.000 9.086
Zn 0.000 0.000 21.498
P 0.000 0.000 11.715
P 0.000 0.000 18.869
O 0.000 0.000 5.980
O 0.000 0.000 24.603
```



Entry 7:
First-principles (PBE) data for a relaxed LiPr2Zn2P2O2 crystal, as listed in the Alexandria database. Values from VASP.

total DFT energy (no corrections) = -5.41 eV per atom
energy relative to the lowest polymorph listed for this composition = 14 meV per atom
energy relative to the elements, uncorrected = -1.552 eV/atom

```
&SYSTEM
  ibrav = 0, nat = 9, ntyp = 5
/
ATOMIC_SPECIES
Li 6.94 Li.upf
Pr 140.91 Pr.upf
Zn 65.41 Zn.upf
P 30.97 P.upf
O 16.00 O.upf
CELL_PARAMETERS angstrom
3.487 -2.011 0.000
3.487 2.011 0.000
-2.376 0.000 11.169
ATOMIC_POSITIONS angstrom
Li 0.000 0.000 0.000
Pr -0.001 0.000 5.539
Pr 4.651 0.000 2.500
Zn 2.270 0.000 10.101
Zn 4.645 0.000 8.381
P 2.322 0.000 0.323
P 2.327 0.000 7.660
O -0.001 0.000 3.131
O 4.650 0.000 4.915
```



Entry 8:
First-principles (PBE) data for a relaxed LiPPtO6 crystal, as listed in the Alexandria database. Values from VASP.

total DFT energy (no corrections) = -5.99 eV per atom
energy relative to the elements, uncorrected = -1.203 eV/atom

```
&SYSTEM
  ibrav = 0, nat = 18, ntyp = 4
/
ATOMIC_SPECIES
Li 6.94 Li.upf
P 30.97 P.upf
Pt 195.08 Pt.upf
O 16.00 O.upf
CELL_PARAMETERS angstrom
4.901 0.000 0.000
-2.450 4.244 0.000
0.000 0.000 9.093
ATOMIC_POSITIONS angstrom
Li 0.000 0.000 0.000
Li 0.000 0.000 4.547
P 0.000 2.830 2.273
P 2.450 1.415 6.820
Pt 0.000 2.830 6.820
Pt 2.450 1.415 2.273
O -0.723 1.608 1.308
O -1.419 2.814 3.239
O 0.723 1.608 3.239
O -0.697 4.066 1.308
O 1.754 0.178 5.854
O 1.031 1.430 7.786
O 1.419 2.814 1.308
O 0.697 4.066 3.239
O 3.147 0.178 7.786
O 1.728 2.636 5.854
O 3.870 1.430 5.854
O 3.173 2.636 7.786
```



Entry 9:
First-principles (PBE) data for a relaxed LiPuPO6 crystal, as listed in the Alexandria database. Values from VASP.

total DFT energy (no corrections) = -7.76 eV per atom
energy relative to the elements, uncorrected = -2.047 eV/atom

```
&SYSTEM
  ibrav = 0, nat = 18, ntyp = 4
/
ATOMIC_SPECIES
Li 6.94 Li.upf
Pu 244.00 Pu.upf
P 30.97 P.upf
O 16.00 O.upf
CELL_PARAMETERS angstrom
5.116 0.000 0.000
-2.558 4.430 0.000
0.000 0.000 9.126
ATOMIC_POSITIONS angstrom
Li 0.000 0.000 0.000
Li 0.000 0.000 4.563
Pu 0.000 2.954 2.282
Pu 2.558 1.477 6.845
P 0.000 2.954 6.845
P 2.558 1.477 2.282
O -0.723 1.727 5.864
O -1.424 2.940 7.826
O 0.723 1.727 7.826
O -0.701 4.193 5.864
O 1.857 0.237 1.301
O 1.134 1.490 3.263
O 1.424 2.940 5.864
O 0.701 4.193 7.826
O 3.259 0.237 3.263
O 1.834 2.704 1.301
O 3.982 1.490 1.301
O 3.281 2.704 3.263
```



Entry 10:
First-principles (PBE) data for a relaxed LiPuP2O8 crystal, as listed in the Alexandria database. Values from VASP.

total DFT energy (no corrections) = -7.89 eV per atom
energy relative to the elements, uncorrected = -2.334 eV/atom

```
&SYSTEM
  ibrav = 0, nat = 12, ntyp = 4
/
ATOMIC_SPECIES
Li 6.94 Li.upf
Pu 244.00 Pu.upf
P 30.97 P.upf
O 16.00 O.upf
CELL_PARAMETERS angstrom
-3.411 3.411 3.004
3.411 -3.411 3.004
3.411 3.411 -3.004
ATOMIC_POSITIONS angstrom
Li 0.000 0.000 0.000
Pu 3.411 0.000 1.502
P 0.000 0.000 3.004
P 0.000 3.411 1.502
O 2.176 3.411 -0.934
O 1.236 0.000 2.070
O 0.000 2.208 0.516
O 3.411 2.176 0.934
O 0.000 4.615 0.516
O 0.000 1.236 3.938
O -1.204 3.411 2.488
O 1.204 3.411 2.488
```



Entry 11:
First-principles (PBE) data for a relaxed RbLiP2O crystal, as listed in the Alexandria database. Values from VASP.

total DFT energy (no corrections) = -3.29 eV per atom
energy relative to the lowest polymorph listed for this composition = 0 meV per atom
energy relative to the elements, uncorrected = 0.441 eV/atom

```
&SYSTEM
  ibrav = 0, nat = 5, ntyp = 4
/
ATOMIC_SPECIES
Rb 85.47 Rb.upf
Li 6.94 Li.upf
P 30.97 P.upf
O 16.00 O.upf
CELL_PARAMETERS angstrom
4.488 0.000 0.000
0.000 4.488 0.000
0.000 0.000 4.755
ATOMIC_POSITIONS angstrom
Rb 0.000 0.000 0.000
Li 2.244 2.244 2.377
P 0.000 2.244 2.377
P 2.244 0.000 2.377
O 2.244 2.244 0.000
```



Entry 12:
First-principles (PBE) data for a relaxed RbLiPO2 crystal, as listed in the Alexandria database. Values from VASP.

total DFT energy (no corrections) = -3.42 eV per atom
energy relative to the lowest polymorph listed for this composition = 0 meV per atom
energy relative to the elements, uncorrected = 0.222 eV/atom

```
&SYSTEM
  ibrav = 0, nat = 5, ntyp = 4
/
ATOMIC_SPECIES
Rb 85.47 Rb.upf
Li 6.94 Li.upf
P 30.97 P.upf
O 16.00 O.upf
CELL_PARAMETERS angstrom
4.308 0.000 0.000
0.000 4.308 0.000
0.000 0.000 4.368
ATOMIC_POSITIONS angstrom
Rb 0.000 0.000 0.000
Li 2.154 2.154 2.184
P 2.154 2.154 0.000
O 0.000 2.154 2.184
O 2.154 0.000 2.184
```



> What is the energy relative to the elements, uncorrected in the ninth record?

-2.047 eV/atom